The following is a DFT calculation (meta-GGA SCAN) of La2AgRu at its PBEsol-relaxed geometry.

a = 4.0519 Å, b = 4.0519 Å, c = 22.5217 Å
α = 90.00°, β = 90.00°, γ = 120.00°
With the nearest neighbours (Å) after each atom.
Space group R-3m (No. 166, hexagonal axes)
One atom of each set of equivalent atoms:
La1 0.0000 0.0000 0.2356 x6  3 Ru 2.81
Ag1 0.0000 0.0000 0.0000 x3  6 La 3.21
Ru1 0.0000 0.0000 0.5000 x3  6 La 2.81

## Properties
energy of formation: -202 meV/atom
D(E_F): 6.633 states/eV/cell
total moment: 0.0 μB per formula unit



The following is a DFT calculation (meta-GGA SCAN) of LaAgS2 at its PBEsol-relaxed geometry.

a = 4.3621 Å, b = 4.3621 Å, c = 21.9744 Å
α = 90.00°, β = 90.00°, γ = 120.00°
With the nearest neighbours (Å) after each atom.
Space group R-3m (No. 166, hexagonal axes)
One atom of each set of equivalent atoms:
La1 0.0000 0.0000 0.0000 x3  6 S 2.86
Ag1 0.0000 0.0000 0.5000 x3  2 S 2.30
S1 0.0000 0.0000 0.3952 x6  1 Ag 2.30

## Properties
raw formation energy: -146.8 kJ per mole of atoms
D(E_F): 0.000 states/eV/cell
total moment: 0.0 μB per formula unit